Entry from Alexandria via LeMat-Bulk: a geometry-optimized TbNd3Sm2Se6 structure (PBE).

Results
- E: -5.93 eV per atom
- Energy relative to the elements, uncorrected: -1.824 eV per atom
- M_tot: 0.00 μB/f.u.
- Fermi-level density of states: 0.472 states/eV per atom

Unit cell a=7.221 b=12.575 c=7.281 alpha=90.00 beta=109.41 gamma=90.00
Space group C2/m (No. 12)
Inequivalent atoms, fractional coordinates:
Tb 0.000 0.000 0.000 [2 per cell]
Nd 0.000 0.170 0.500 [4 per cell]
Nd 0.000 0.500 0.500 [2 per cell]
Sm 0.000 0.333 0.000 [4 per cell]
Se 0.245 0.164 0.242 [8 per cell]
Se 0.247 0.000 0.756 [4 per cell]



Entry from Alexandria via LeMat-Bulk: a geometry-optimized TbNdSm2Se6 structure (PBE).

Results
- E: -5.82 eV per atom
- Energy relative to the elements, uncorrected: -1.844 eV per atom
- M_tot: 0.00 μB/f.u.
- Fermi-level density of states: 0.000 states/eV per atom

Unit cell a=7.3773 b=7.3773 c=19.7199 alpha=90.00 beta=90.00 gamma=120.00
Space group R3 (No. 146, hexagonal axes)
Inequivalent atoms, fractional coordinates:
Tb 0.0000 0.0000 0.0000 [3 per cell]
Nd 0.0000 0.0000 0.5034 [3 per cell]
Sm 0.0000 0.0000 0.3029 [3 per cell]
Sm 0.0000 0.0000 0.8004 [3 per cell]
Se 0.0047 0.7048 0.9023 [9 per cell]
Se 0.0316 0.3581 0.0683 [9 per cell]



Entry from Alexandria via LeMat-Bulk: a geometry-optimized Nd2SmTh3Se6 structure (PBE).

Results
- E: -6.45 eV per atom
- Energy relative to the elements, uncorrected: -1.669 eV per atom
- M_tot: 0.00 μB/f.u.
- Fermi-level density of states: 0.758 states/eV per atom

Unit cell a=18.499 b=4.203 c=8.419 alpha=90.00 beta=105.18 gamma=90.00
Space group C2/m (No. 12)
Inequivalent atoms, fractional coordinates:
Nd 0.166 0.000 0.333 [4 per cell]
Sm 0.000 0.500 0.000 [2 per cell]
Th 0.000 0.500 0.500 [2 per cell]
Th 0.168 0.000 0.834 [4 per cell]
Se 0.000 0.000 0.246 [4 per cell]
Se 0.165 0.500 0.083 [4 per cell]
Se 0.167 0.500 0.583 [4 per cell]



Entry from Alexandria via LeMat-Bulk: a geometry-optimized Nd3Sm4ThSe8 structure (PBE).

Results
- E: -6.06 eV per atom
- Energy relative to the elements, uncorrected: -1.783 eV per atom
- M_tot: 0.00 μB/f.u.
- Fermi-level density of states: 0.732 states/eV per atom

Unit cell a=8.3874 b=8.3874 c=20.6235 alpha=90.00 beta=90.00 gamma=120.00
Space group R-3m (No. 166, hexagonal axes)
Inequivalent atoms, fractional coordinates:
Nd 0.0000 0.5000 0.0000 [9 per cell]
Sm 0.0000 0.0000 0.5000 [3 per cell]
Sm 0.0000 0.5000 0.5000 [9 per cell]
Th 0.0000 0.0000 0.0000 [3 per cell]
Se 0.0000 0.0000 0.2482 [6 per cell]
Se 0.0012 0.5006 0.7515 [18 per cell]



Entry from Alexandria via LeMat-Bulk: a geometry-optimized NdSm3Th2Se6 structure (PBE).

Results
- E: -6.27 eV per atom
- Energy relative to the elements, uncorrected: -1.717 eV per atom
- M_tot: 0.00 μB/f.u.
- Fermi-level density of states: 0.566 states/eV per atom

Unit cell a=7.242 b=12.491 c=7.315 alpha=90.00 beta=109.18 gamma=90.00
Space group C2/m (No. 12)
Inequivalent atoms, fractional coordinates:
Nd 0.000 0.000 0.000 [2 per cell]
Sm 0.000 0.163 0.500 [4 per cell]
Sm 0.000 0.500 0.500 [2 per cell]
Th 0.000 0.332 0.000 [4 per cell]
Se 0.247 0.333 0.743 [8 per cell]
Se 0.249 0.500 0.252 [4 per cell]



Entry from Alexandria via LeMat-Bulk: a geometry-optimized NdSm2ThSe4 structure (PBE).

Results
- E: -6.19 eV per atom
- Energy relative to the elements, uncorrected: -1.745 eV per atom
- M_tot: 0.00 μB/f.u.
- Fermi-level density of states: 0.527 states/eV per atom

Unit cell a=7.269 b=4.169 c=7.291 alpha=90.00 beta=109.23 gamma=90.00
Space group P2/m (No. 10)
Inequivalent atoms, fractional coordinates:
Nd 0.000 0.000 0.000 [1 per cell]
Sm 0.000 0.500 0.500 [1 per cell]
Sm 0.500 0.000 0.500 [1 per cell]
Th 0.500 0.500 0.000 [1 per cell]
Se 0.249 0.000 0.745 [2 per cell]
Se 0.252 0.500 0.255 [2 per cell]



Entry from Alexandria via LeMat-Bulk: a geometry-optimized Nd3SmTh4Se8 structure (PBE).

Results
- E: -6.47 eV per atom
- Energy relative to the elements, uncorrected: -1.682 eV per atom
- M_tot: 0.00 μB/f.u.
- Fermi-level density of states: 0.350 states/eV per atom

Unit cell a=8.3312 b=8.3312 c=21.0226 alpha=90.00 beta=90.00 gamma=120.00
Space group R-3m (No. 166, hexagonal axes)
Inequivalent atoms, fractional coordinates:
Nd 0.0000 0.5000 0.0000 [9 per cell]
Sm 0.0000 0.0000 0.0000 [3 per cell]
Th 0.0000 0.0000 0.5000 [3 per cell]
Th 0.0000 0.5000 0.5000 [9 per cell]
Se 0.0000 0.0000 0.2505 [6 per cell]
Se 0.0022 0.5011 0.7489 [18 per cell]



Entry from Alexandria via LeMat-Bulk: a geometry-optimized Nd3Sm2ThSe6 structure (PBE).

Results
- E: -6.11 eV per atom
- Energy relative to the elements, uncorrected: -1.775 eV per atom
- M_tot: 0.00 μB/f.u.
- Fermi-level density of states: 0.564 states/eV per atom

Unit cell a=18.302 b=4.201 c=8.437 alpha=90.00 beta=103.02 gamma=90.00
Space group C2/m (No. 12)
Inequivalent atoms, fractional coordinates:
Nd 0.000 0.000 0.000 [2 per cell]
Nd 0.165 0.500 0.334 [4 per cell]
Sm 0.165 0.500 0.831 [4 per cell]
Th 0.000 0.000 0.500 [2 per cell]
Se 0.001 0.500 0.751 [4 per cell]
Se 0.167 0.000 0.587 [4 per cell]
Se 0.169 0.000 0.080 [4 per cell]



Entry from Alexandria via LeMat-Bulk: a geometry-optimized Nd3SmTl4Se8 structure (PBE).

Results
- E: -4.90 eV per atom
- Energy relative to the elements, uncorrected: -1.380 eV per atom
- M_tot: 0.00 μB/f.u.

Unit cell a=8.6268 b=8.6268 c=23.2640 alpha=90.00 beta=90.00 gamma=120.00
Space group R-3m (No. 166, hexagonal axes)
Inequivalent atoms, fractional coordinates:
Nd 0.0000 0.5000 0.0000 [9 per cell]
Sm 0.0000 0.0000 0.0000 [3 per cell]
Tl 0.0000 0.0000 0.5000 [3 per cell]
Tl 0.0000 0.5000 0.5000 [9 per cell]
Se 0.0000 0.0000 0.2629 [6 per cell]
Se 0.0028 0.5014 0.7367 [18 per cell]



Entry from Alexandria via LeMat-Bulk: a geometry-optimized NdSm2Tl3Se6 structure (PBE).

Results
- E: -4.90 eV per atom
- Energy relative to the elements, uncorrected: -1.382 eV per atom
- M_tot: 0.00 μB/f.u.

Unit cell a=7.433 b=12.872 c=8.145 alpha=90.00 beta=107.71 gamma=90.00
Space group C2/m (No. 12)
Inequivalent atoms, fractional coordinates:
Nd 0.000 0.000 0.000 [2 per cell]
Sm 0.000 0.333 0.000 [4 per cell]
Tl 0.000 0.166 0.500 [4 per cell]
Tl 0.000 0.500 0.500 [2 per cell]
Se 0.233 0.500 0.209 [4 per cell]
Se 0.238 0.168 0.210 [8 per cell]



Entry from Alexandria via LeMat-Bulk: a geometry-optimized Nd3Sm3TmSe8 structure (PBE).

Results
- E: -5.92 eV per atom
- Energy relative to the elements, uncorrected: -1.864 eV per atom
- M_tot: 0.00 μB/f.u.
- Fermi-level density of states: 0.454 states/eV per atom

Unit cell a=8.3490 b=8.3490 c=20.5446 alpha=90.00 beta=90.00 gamma=120.00
Space group R-3m (No. 166, hexagonal axes)
Inequivalent atoms, fractional coordinates:
Nd 0.0000 0.5000 0.0000 [9 per cell]
Sm 0.0000 0.5000 0.5000 [9 per cell]
Tm 0.0000 0.0000 0.5000 [3 per cell]
Se 0.0000 0.0000 0.2484 [6 per cell]
Se 0.0054 0.5027 0.2471 [18 per cell]



Entry from Alexandria via LeMat-Bulk: a geometry-optimized Nd2Sm3TmSe6 structure (PBE).

Results
- E: -5.89 eV per atom
- Energy relative to the elements, uncorrected: -1.797 eV per atom
- M_tot: 0.00 μB/f.u.
- Fermi-level density of states: 0.490 states/eV per atom

Unit cell a=18.140 b=4.147 c=8.384 alpha=90.00 beta=102.95 gamma=90.00
Space group C2/m (No. 12)
Inequivalent atoms, fractional coordinates:
Nd 0.169 0.000 0.337 [4 per cell]
Sm 0.000 0.500 0.500 [2 per cell]
Sm 0.172 0.000 0.834 [4 per cell]
Tm 0.000 0.500 0.000 [2 per cell]
Se 0.002 0.000 0.762 [4 per cell]
Se 0.160 0.500 0.077 [4 per cell]
Se 0.164 0.500 0.586 [4 per cell]